# 1
Material: BeHg2Os
Method: DFT, PBE-GGA
State: optimized geometry

Properties
* space group: No. 10
* energy relative to the elements: 0.86 eV/atom

a = 2.957 Å, b = 4.284 Å, c = 5.430 Å
α = 90.00°, β = 104.15°, γ = 90.00°
Positions (direct):
Be (0.000, 0.000, 0.000)
Hg (0.359, 0.500, 0.237)
Hg (0.641, 0.500, 0.763)
Os (0.000, 0.000, 0.500)



# 2
Material: Sm2Dy3HoS6
Method: DFT, PBE-GGA
State: optimized geometry

Properties
* space group: No. 12
* ΔE_f (raw): -2.000 eV per atom

a = 8.794 Å, b = 8.794 Å, c = 7.912 Å
α = 103.15°, β = 103.15°, γ = 25.78°
Positions (direct):
Sm (0.168, 0.168, 0.335)
Sm (0.832, 0.832, 0.665)
Dy (0.168, 0.168, 0.833)
Dy (0.500, 0.500, 0.500)
Dy (0.832, 0.832, 0.167)
Ho (0.500, 0.500, 0.000)
S (0.003, 0.003, 0.753)
S (0.335, 0.335, 0.924)
S (0.336, 0.336, 0.411)
S (0.664, 0.664, 0.589)
S (0.665, 0.665, 0.076)
S (0.997, 0.997, 0.247)



# 3
Material: Sm4Dy3Te8
Method: DFT, PBE-GGA
State: optimized geometry

Properties
* space group: No. 12
* ΔE_f (raw): -1.400 eV per atom

a = 8.768 Å, b = 8.768 Å, c = 8.769 Å
α = 119.97°, β = 119.97°, γ = 90.03°
Positions (direct):
Sm (0.000, 0.000, 0.000)
Sm (0.000, 0.000, 0.500)
Sm (0.000, 0.500, 0.000)
Sm (0.500, 0.000, 0.000)
Dy (0.000, 0.500, 0.500)
Dy (0.500, 0.000, 0.500)
Dy (0.500, 0.500, 0.000)
Te (0.252, 0.748, 0.000)
Te (0.258, 0.742, 0.500)
Te (0.260, 0.260, 0.015)
Te (0.260, 0.260, 0.505)
Te (0.740, 0.740, 0.495)
Te (0.740, 0.740, 0.985)
Te (0.742, 0.258, 0.500)
Te (0.748, 0.252, 0.000)



# 4
Material: Cs2AgPdO4
Method: DFT, PBE-GGA
State: optimized geometry

Properties
* space group: No. 70
* ΔE_f (raw): -0.454 eV per atom

a = 12.600 Å, b = 11.123 Å, c = 7.101 Å
α = 84.41°, β = 61.47°, γ = 34.12°
Positions (direct):
Cs (0.052, 0.052, 0.698)
Cs (0.302, 0.302, 0.948)
Cs (0.698, 0.698, 0.052)
Cs (0.948, 0.948, 0.302)
Ag (0.125, 0.125, 0.125)
Ag (0.875, 0.875, 0.875)
Pd (0.375, 0.375, 0.375)
Pd (0.625, 0.625, 0.625)
O (0.031, 0.640, 0.514)
O (0.315, 0.514, 0.640)
O (0.360, 0.969, 0.685)
O (0.486, 0.685, 0.969)
O (0.514, 0.315, 0.031)
O (0.640, 0.031, 0.315)
O (0.685, 0.486, 0.360)
O (0.969, 0.360, 0.486)



# 5
Material: La2PrDy3
Method: DFT, PBE-GGA
State: optimized geometry

Properties
* energy above the lowest structure with this stoichiometry: 0 meV per atom
* space group: No. 63
* energy relative to the elements: 0.06 eV/atom

a = 8.614 Å, b = 8.614 Å, c = 5.686 Å
α = 90.00°, β = 90.00°, γ = 103.31°
Positions (direct):
La (0.109, 0.232, 0.250)
La (0.232, 0.109, 0.750)
La (0.768, 0.891, 0.250)
La (0.891, 0.768, 0.750)
Pr (0.189, 0.811, 0.250)
Pr (0.811, 0.189, 0.750)
Dy (0.160, 0.515, 0.750)
Dy (0.441, 0.559, 0.250)
Dy (0.485, 0.840, 0.750)
Dy (0.515, 0.160, 0.250)
Dy (0.559, 0.441, 0.750)
Dy (0.840, 0.485, 0.250)



# 6
Material: Pr2SbO5F
Method: DFT, PBE-GGA
State: optimized geometry

Properties
* space group: No. 4
* ΔE_f (raw): -2.802 eV per atom

a = 7.097 Å, b = 6.697 Å, c = 10.232 Å
α = 90.00°, β = 93.71°, γ = 90.00°
Positions (direct):
Pr (0.123, 0.000, 0.034)
Pr (0.130, 0.810, 0.661)
Pr (0.370, 0.372, 0.838)
Pr (0.373, 0.181, 0.466)
Pr (0.627, 0.681, 0.534)
Pr (0.630, 0.872, 0.162)
Pr (0.870, 0.310, 0.339)
Pr (0.877, 0.500, 0.966)
Sb (0.113, 0.740, 0.322)
Sb (0.392, 0.445, 0.178)
Sb (0.608, 0.945, 0.822)
Sb (0.887, 0.240, 0.678)
O (0.048, 0.160, 0.536)
O (0.051, 0.016, 0.271)
O (0.081, 0.144, 0.814)
O (0.195, 0.355, 0.042)
O (0.202, 0.441, 0.324)
O (0.301, 0.744, 0.175)
O (0.310, 0.826, 0.461)
O (0.413, 0.050, 0.690)
O (0.448, 0.023, 0.965)
O (0.468, 0.175, 0.234)
O (0.532, 0.675, 0.766)
O (0.552, 0.523, 0.035)
O (0.587, 0.550, 0.310)
O (0.690, 0.326, 0.539)
O (0.699, 0.244, 0.825)
O (0.798, 0.941, 0.676)
O (0.805, 0.855, 0.958)
O (0.919, 0.644, 0.186)
O (0.949, 0.516, 0.729)
O (0.952, 0.660, 0.464)
F (0.169, 0.709, 0.893)
F (0.323, 0.470, 0.607)
F (0.677, 0.970, 0.393)
F (0.831, 0.209, 0.107)



Quick rundown of D(E_F), same order as above: 2.87, 5.20, 6.89, 5.56, 18.69, 0.00 states/eV/cell